[1]
This record from Alexandria via LeMat-Bulk describes a relaxed Te2AuIN crystal. The functional is GGA-PBEsol.

## Properties
- Calculated total energy: -3.380 eV/atom
- Space-group type: P4/mmm (123)

Geometry as CIF:
```
data_Te2AuIN
_cell_length_a 3.685
_cell_length_b 5.849
_cell_length_c 5.849
_cell_angle_alpha 90.00
_cell_angle_beta 90.00
_cell_angle_gamma 90.00
_space_group_name_H-M_alt 'P 1'
_space_group_IT_number 1
loop_
_space_group_symop_operation_xyz
'x,y,z'
loop_
_atom_site_label
_atom_site_type_symbol
_atom_site_fract_x
_atom_site_fract_y
_atom_site_fract_z
Te1 Te 0.000 0.500 0.000
Te2 Te 0.000 0.000 0.500
I1 I 0.500 0.500 0.500
N1 N 0.500 0.000 0.000
Au1 Au 0.000 0.000 0.000
```

[2]
This record from Alexandria via LeMat-Bulk describes a relaxed Na2SbAuI crystal. The functional is GGA-PBEsol.

## Properties
- Calculated total energy: -2.446 eV/atom
- Space-group type: P4/mmm (123)

Geometry as CIF:
```
data_Na2SbAuI
_cell_length_a 5.546
_cell_length_b 5.358
_cell_length_c 5.358
_cell_angle_alpha 90.00
_cell_angle_beta 90.00
_cell_angle_gamma 90.00
_space_group_name_H-M_alt 'P 1'
_space_group_IT_number 1
loop_
_space_group_symop_operation_xyz
'x,y,z'
loop_
_atom_site_label
_atom_site_type_symbol
_atom_site_fract_x
_atom_site_fract_y
_atom_site_fract_z
Na1 Na 0.000 0.000 0.500
Na2 Na 0.000 0.500 0.000
I1 I 0.500 0.000 0.000
Sb1 Sb 0.500 0.500 0.500
Au1 Au 0.000 0.000 0.000
```

[3]
This record from Alexandria via LeMat-Bulk describes a relaxed NbSb2AuI crystal. The functional is GGA-PBEsol.

## Properties
- Calculated total energy: -3.988 eV/atom
- Space-group type: P4/mmm (123)

Geometry as CIF:
```
data_NbSb2AuI
_cell_length_a 5.225
_cell_length_b 5.225
_cell_length_c 5.424
_cell_angle_alpha 90.00
_cell_angle_beta 90.00
_cell_angle_gamma 90.00
_space_group_name_H-M_alt 'P 1'
_space_group_IT_number 1
loop_
_space_group_symop_operation_xyz
'x,y,z'
loop_
_atom_site_label
_atom_site_type_symbol
_atom_site_fract_x
_atom_site_fract_y
_atom_site_fract_z
Nb1 Nb 0.500 0.500 0.500
Au1 Au 0.000 0.000 0.000
I1 I 0.000 0.000 0.500
Sb1 Sb 0.000 0.500 0.000
Sb2 Sb 0.500 0.000 0.000
```

[4]
This record from Alexandria via LeMat-Bulk describes a relaxed TaNbAu2I crystal. The functional is GGA-PBEsol.

## Properties
- Calculated total energy: -4.590 eV/atom
- Space-group type: P4/mmm (123)

Geometry as CIF:
```
data_TaNbAu2I
_cell_length_a 4.976
_cell_length_b 4.976
_cell_length_c 5.014
_cell_angle_alpha 90.00
_cell_angle_beta 90.00
_cell_angle_gamma 90.00
_space_group_name_H-M_alt 'P 1'
_space_group_IT_number 1
loop_
_space_group_symop_operation_xyz
'x,y,z'
loop_
_atom_site_label
_atom_site_type_symbol
_atom_site_fract_x
_atom_site_fract_y
_atom_site_fract_z
Ta1 Ta 0.500 0.500 0.500
Au1 Au 0.000 0.500 0.000
Au2 Au 0.500 0.000 0.000
Nb1 Nb 0.000 0.000 0.500
I1 I 0.000 0.000 0.000
```

[5]
This record from Alexandria via LeMat-Bulk describes a relaxed NiAuIO2 crystal. The functional is GGA-PBEsol.

## Properties
- Space-group type: P4/mmm (123)
- ΔE to the lowest computed polymorph: 0.045 eV/atom

Geometry as CIF:
```
data_NiAuIO2
_cell_length_a 3.737
_cell_length_b 3.737
_cell_length_c 6.040
_cell_angle_alpha 90.00
_cell_angle_beta 90.00
_cell_angle_gamma 90.00
_space_group_name_H-M_alt 'P 1'
_space_group_IT_number 1
loop_
_space_group_symop_operation_xyz
'x,y,z'
loop_
_atom_site_label
_atom_site_type_symbol
_atom_site_fract_x
_atom_site_fract_y
_atom_site_fract_z
O1 O 0.000 0.500 0.000
O2 O 0.500 0.000 0.000
Ni1 Ni 0.000 0.000 0.000
I1 I 0.000 0.000 0.500
Au1 Au 0.500 0.500 0.500
```

[6]
This record from Alexandria via LeMat-Bulk describes a relaxed NiAuIO2 crystal. The functional is GGA-PBEsol.

## Properties
- Space-group type: P4/mmm (123)
- ΔE to the lowest computed polymorph: 0.000 eV/atom

Geometry as CIF:
```
data_NiAuIO2
_cell_length_a 3.737
_cell_length_b 3.737
_cell_length_c 5.790
_cell_angle_alpha 90.00
_cell_angle_beta 90.00
_cell_angle_gamma 90.00
_space_group_name_H-M_alt 'P 1'
_space_group_IT_number 1
loop_
_space_group_symop_operation_xyz
'x,y,z'
loop_
_atom_site_label
_atom_site_type_symbol
_atom_site_fract_x
_atom_site_fract_y
_atom_site_fract_z
I1 I 0.500 0.500 0.500
O1 O 0.500 0.000 0.000
O2 O 0.000 0.500 0.000
Ni1 Ni 0.000 0.000 0.000
Au1 Au 0.000 0.000 0.500
```

| no. | magnetization (Bohr magnetons per cell) | theoretical density (g/cm³) |
| --- | --- | --- |
| 1 | 0.00 | 7.81 |
| 2 | 0.00 | 5.13 |
| 3 | 2.58 | 7.40 |
| 4 | 1.07 | 10.63 |
| 5 | 2.51 | 8.16 |
| 6 | 2.44 | 8.51 |